(1)
Below is a relaxed structure of Dy3CuSiSe7, with properties calculated at the GGA-PBE level.

Values from the calculation:
Total magnetic moment = 0.0 μB per cell
E_tot = -5.29 eV per atom
Formation energy (no corrections) = -1315 meV/atom
Density = 6.7 Mg/m³
Calculated volume = 23.27 A^3/atom

Unit cell a=10.3468 b=10.3468 c=6.0245 alpha=90.00 beta=90.00 gamma=120.00
Last column: nearest neighbours and their distance in Å.
Element x y z (fractional)
Dy (0.1321, 0.3556, 0.0000)  7 Se 2.88-3.17
Dy (0.2236, 0.8679, 0.0000)  7 Se 2.88-3.17
Dy (0.3556, 0.2236, 0.5000)  7 Se 2.88-3.17
Dy (0.6444, 0.7764, 0.0000)  7 Se 2.88-3.17
Dy (0.7764, 0.1321, 0.5000)  7 Se 2.88-3.17
Dy (0.8679, 0.6444, 0.5000)  7 Se 2.88-3.17
Cu (0.0000, 0.0000, 0.4523)  3 Se 2.37
Cu (0.0000, 0.0000, 0.9523)  3 Se 2.37
Si (0.3333, 0.6667, 0.5899)  4 Se 2.27-2.31
Si (0.6667, 0.3333, 0.0899)  4 Se 2.27-2.31
Se (0.0990, 0.2616, 0.4695)  1 Cu 2.37
Se (0.1004, 0.5797, 0.7453)  1 Si 2.31
Se (0.1626, 0.9010, 0.4695)  1 Cu 2.37
Se (0.2616, 0.1626, 0.9695)  1 Cu 2.37
Se (0.3333, 0.6667, 0.2124)  1 Si 2.27
Se (0.4203, 0.5208, 0.7453)  1 Si 2.31
Se (0.4792, 0.8996, 0.7453)  1 Si 2.31
Se (0.5208, 0.1004, 0.2453)  1 Si 2.31
Se (0.5797, 0.4792, 0.2453)  1 Si 2.31
Se (0.6667, 0.3333, 0.7124)  1 Si 2.27
Se (0.7384, 0.8374, 0.4695)  1 Cu 2.37
Se (0.8374, 0.0990, 0.9695)  1 Cu 2.37
Se (0.8996, 0.4203, 0.2453)  1 Si 2.31
Se (0.9010, 0.7384, 0.9695)  1 Cu 2.37

(2)
Below is a relaxed structure of SmDy2CuSe5, with properties calculated at the GGA-PBE level.

Values from the calculation:
Total magnetic moment = 0.0 μB per cell
E_tot = -5.45 eV per atom
Formation energy (no corrections) = -1517 meV/atom
Density = 7.2 Mg/m³
Calculated volume = 23.84 A^3/atom

Unit cell a=9.2841 b=9.2841 c=11.8673 alpha=90.00 beta=90.00 gamma=155.19
Last column: nearest neighbours and their distance in Å.
Element x y z (fractional)
Sm (0.1928, 0.8072, 0.5000)  6 Se 2.82-3.00, 2 Cu 3.13
Sm (0.8072, 0.1928, 0.0000)  6 Se 2.82-3.00, 2 Cu 3.13
Dy (0.1017, 0.8983, 0.1723)  7 Se 2.95-3.02
Dy (0.1153, 0.8847, 0.7967)  7 Se 2.88-3.17
Dy (0.8847, 0.1153, 0.2967)  7 Se 2.88-3.17
Dy (0.8983, 0.1017, 0.6723)  7 Se 2.95-3.02
Cu (0.4352, 0.5648, 0.9443)  4 Se 2.40-2.48
Cu (0.5648, 0.4352, 0.4443)  4 Se 2.40-2.48
Se (0.0414, 0.9586, 0.5544)  2 Cu 2.42
Se (0.2938, 0.7062, 0.1767)  2 Sm 2.90, 2 Dy 2.95
Se (0.3226, 0.6774, 0.8249)  1 Cu 2.48
Se (0.3581, 0.6419, 0.4915)  1 Sm 3.00, 4 Dy 3.02-3.09
Se (0.4978, 0.5022, 0.2698)  1 Cu 2.40
Se (0.5022, 0.4978, 0.7698)  1 Cu 2.40
Se (0.6419, 0.3581, 0.9915)  1 Sm 3.00, 4 Dy 3.02-3.09
Se (0.6774, 0.3226, 0.3249)  1 Cu 2.48
Se (0.7062, 0.2938, 0.6767)  2 Sm 2.90, 2 Dy 2.95
Se (0.9586, 0.0414, 0.0544)  2 Cu 2.42

(3)
Below is a relaxed structure of Sm2DyCuSe5, with properties calculated at the GGA-PBE level.

Values from the calculation:
Total magnetic moment = 0.0 μB per cell
E_tot = -5.53 eV per atom
Formation energy (no corrections) = -1576 meV/atom
Density = 7.1 Mg/m³
Calculated volume = 23.93 A^3/atom

Unit cell a=9.0411 b=9.0411 c=12.0964 alpha=90.00 beta=90.00 gamma=154.17
Last column: nearest neighbours and their distance in Å.
Element x y z (fractional)
Sm (0.1084, 0.8916, 0.5000)  8 Se 3.02-3.17
Sm (0.1219, 0.8781, 0.1231)  7 Se 2.95-3.28
Sm (0.8781, 0.1219, 0.6231)  7 Se 2.95-3.28
Sm (0.8916, 0.1084, 0.0000)  8 Se 3.02-3.17
Dy (0.1933, 0.8067, 0.8249)  6 Se 2.74-2.89
Dy (0.8067, 0.1933, 0.3249)  6 Se 2.74-2.89
Cu (0.4358, 0.5642, 0.2700)  4 Se 2.41-2.54
Cu (0.5642, 0.4358, 0.7700)  4 Se 2.41-2.54
Se (0.0421, 0.9579, 0.8778)  2 Cu 2.44
Se (0.2881, 0.7119, 0.4900)  2 Dy 2.86, 3 Sm 3.03-3.17
Se (0.3137, 0.6863, 0.1588)  1 Cu 2.54
Se (0.3572, 0.6428, 0.8154)  1 Dy 2.89, 4 Sm 3.07-3.10
Se (0.4989, 0.5011, 0.5949)  1 Cu 2.41
Se (0.5011, 0.4989, 0.0949)  1 Cu 2.41
Se (0.6428, 0.3572, 0.3154)  1 Dy 2.89, 4 Sm 3.07-3.10
Se (0.6863, 0.3137, 0.6588)  1 Cu 2.54
Se (0.7119, 0.2881, 0.9900)  2 Dy 2.86, 3 Sm 3.03-3.17
Se (0.9579, 0.0421, 0.3778)  2 Cu 2.44

(4)
Below is a relaxed structure of DyCuSn2Se4, with properties calculated at the GGA-PBE level.

Values from the calculation:
Total magnetic moment = 0.0 μB per cell
E_tot = -4.53 eV per atom
Formation energy (no corrections) = -700 meV/atom
Density = 6.4 Mg/m³
Calculated volume = 25.14 A^3/atom

Unit cell a=7.0568 b=4.1102 c=7.3613 alpha=90.00 beta=109.61 gamma=90.00
Last column: nearest neighbours and their distance in Å.
Element x y z (fractional)
Dy (0.0000, 0.0000, 0.0000)  6 Se 2.86-2.88
Cu (0.5000, 0.5000, 0.0000)  6 Se 2.76-2.85
Sn (0.0000, 0.5000, 0.5000)  6 Se 3.05-3.09
Sn (0.5000, 0.0000, 0.5000)  6 Se 2.99-3.03
Se (0.2480, 0.5000, 0.2319)  1 Cu 2.85, 2 Dy 2.86, 3 Sn 2.99-3.05
Se (0.2725, 0.0000, 0.7829)  2 Cu 2.76, 1 Dy 2.88, 3 Sn 3.03-3.09
Se (0.7275, 0.0000, 0.2171)  2 Cu 2.76, 1 Dy 2.88, 3 Sn 3.03-3.09
Se (0.7520, 0.5000, 0.7681)  1 Cu 2.85, 2 Dy 2.86, 3 Sn 2.99-3.05

(5)
Below is a relaxed structure of Sr2DyCu2Se4, with properties calculated at the GGA-PBE level.

Values from the calculation:
Total magnetic moment = 0.0 μB per cell
E_tot = -4.60 eV per atom
Formation energy (no corrections) = -1261 meV/atom
Density = 6.1 Mg/m³
Calculated volume = 23.62 A^3/atom

Unit cell a=7.7872 b=7.7872 c=7.4908 alpha=110.18 beta=110.18 gamma=30.07
Last column: nearest neighbours and their distance in Å.
Element x y z (fractional)
Sr (0.1344, 0.1344, 0.0757)  7 Se 3.13-3.37, 1 Cu 3.37
Sr (0.8656, 0.8656, 0.9243)  7 Se 3.13-3.37, 1 Cu 3.37
Dy (0.0000, 0.0000, 0.5000)  6 Se 2.88-2.90
Cu (0.3128, 0.3128, 0.5051)  4 Se 2.51-2.62, 2 Cu 2.75
Cu (0.6872, 0.6872, 0.4949)  4 Se 2.51-2.62, 2 Cu 2.75
Se (0.2038, 0.2038, 0.7108)  3 Cu 2.54-2.62
Se (0.4774, 0.4774, 0.7545)  1 Cu 2.51
Se (0.5226, 0.5226, 0.2455)  1 Cu 2.51
Se (0.7962, 0.7962, 0.2892)  3 Cu 2.54-2.62

(6)
Below is a relaxed structure of SrDyCu2Se4, with properties calculated at the GGA-PBE level.

Values from the calculation:
Total magnetic moment = 0.0 μB per cell
E_tot = -4.57 eV per atom
Formation energy (no corrections) = -1016 meV/atom
Density = 5.8 Mg/m³
Calculated volume = 24.65 A^3/atom

Unit cell a=6.9691 b=6.9691 c=8.1219 alpha=90.00 beta=90.00 gamma=90.00
Last column: nearest neighbours and their distance in Å.
Element x y z (fractional)
Sr (0.0000, 0.0000, 0.0000)  8 Se 3.20-3.24
Sr (0.5000, 0.5000, 0.5000)  8 Se 3.20-3.24
Dy (0.0000, 0.0000, 0.5000)  4 Se 2.79
Dy (0.5000, 0.5000, 0.0000)  4 Se 2.79
Cu (0.0000, 0.5000, 0.2500)  4 Se 2.50
Cu (0.0000, 0.5000, 0.7500)  4 Se 2.50
Cu (0.5000, 0.0000, 0.2500)  4 Se 2.50
Cu (0.5000, 0.0000, 0.7500)  4 Se 2.50
Se (0.2226, 0.2226, 0.7130)  2 Cu 2.50, 1 Dy 2.79
Se (0.2226, 0.7774, 0.2870)  2 Cu 2.50, 1 Dy 2.79
Se (0.2774, 0.2774, 0.2130)  2 Cu 2.50, 1 Dy 2.79
Se (0.2774, 0.7226, 0.7870)  2 Cu 2.50, 1 Dy 2.79
Se (0.7226, 0.2774, 0.7870)  2 Cu 2.50, 1 Dy 2.79
Se (0.7226, 0.7226, 0.2130)  2 Cu 2.50, 1 Dy 2.79
Se (0.7774, 0.2226, 0.2870)  2 Cu 2.50, 1 Dy 2.79
Se (0.7774, 0.7774, 0.7130)  2 Cu 2.50, 1 Dy 2.79

(7)
Below is a relaxed structure of Sr3Dy3CuSe8, with properties calculated at the GGA-PBE level.

Values from the calculation:
Total magnetic moment = 0.0 μB per cell
E_tot = -5.05 eV per atom
Formation energy (no corrections) = -1659 meV/atom
Density = 5.7 Mg/m³
Calculated volume = 28.31 A^3/atom

Unit cell a=8.3283 b=8.3283 c=8.5490 alpha=119.14 beta=119.14 gamma=60.01
Last column: nearest neighbours and their distance in Å.
Element x y z (fractional)
Sr (0.0000, 0.0000, 0.0000)  6 Se 3.07-3.11
Sr (0.0000, 0.5000, 0.0000)  6 Se 3.07-3.11
Sr (0.5000, 0.0000, 0.0000)  6 Se 3.07-3.11
Dy (0.0000, 0.5000, 0.5000)  6 Se 2.87-2.90
Dy (0.5000, 0.0000, 0.5000)  6 Se 2.87-2.90
Dy (0.5000, 0.5000, 0.5000)  6 Se 2.87-2.90
Cu (0.0000, 0.0000, 0.5000)  6 Se 2.84-2.85
Se (0.2378, 0.2378, 0.7189)  1 Cu 2.84, 2 Dy 2.87, 2 Sr 3.11
Se (0.2387, 0.7424, 0.7197)  1 Cu 2.85, 2 Dy 2.87, 2 Sr 3.11
Se (0.2567, 0.2567, 0.2702)  3 Dy 2.90, 3 Sr 3.07
Se (0.2576, 0.7613, 0.2803)  1 Cu 2.85, 2 Dy 2.87, 2 Sr 3.11
Se (0.7424, 0.2387, 0.7197)  1 Cu 2.85, 2 Dy 2.87, 2 Sr 3.11
Se (0.7433, 0.7433, 0.7298)  3 Dy 2.90, 3 Sr 3.07
Se (0.7613, 0.2576, 0.2803)  1 Cu 2.85, 2 Dy 2.87, 2 Sr 3.11
Se (0.7622, 0.7622, 0.2811)  1 Cu 2.84, 2 Dy 2.87, 2 Sr 3.11

(8)
Below is a relaxed structure of SrDyCuSe3, with properties calculated at the GGA-PBE level.

Values from the calculation:
Total magnetic moment = 0.0 μB per cell
E_tot = -5.02 eV per atom
Formation energy (no corrections) = -1546 meV/atom
Density = 5.9 Mg/m³
Calculated volume = 25.74 A^3/atom

Unit cell a=8.5660 b=4.0893 c=9.0872 alpha=90.00 beta=103.96 gamma=90.00
Last column: nearest neighbours and their distance in Å.
Element x y z (fractional)
Sr (0.1891, 0.2500, 0.2413)  7 Se 3.15-3.34, 1 Cu 3.46
Sr (0.8109, 0.7500, 0.7587)  7 Se 3.15-3.34, 1 Cu 3.46
Dy (0.3251, 0.7500, 0.8332)  6 Se 2.82-2.93
Dy (0.6749, 0.2500, 0.1668)  6 Se 2.82-2.93
Cu (0.0801, 0.2500, 0.5837)  4 Se 2.50-2.54, 2 Cu 2.71
Cu (0.9199, 0.7500, 0.4163)  4 Se 2.50-2.54, 2 Cu 2.71
Se (0.1008, 0.2500, 0.8632)  1 Cu 2.50
Se (0.2230, 0.7500, 0.5140)  3 Cu 2.53-2.54, 1 Dy 2.82
Se (0.4378, 0.7500, 0.1640)  3 Dy 2.88-2.93, 2 Sr 3.15
Se (0.5622, 0.2500, 0.8360)  3 Dy 2.88-2.93, 2 Sr 3.15
Se (0.7770, 0.2500, 0.4860)  3 Cu 2.53-2.54, 1 Dy 2.82
Se (0.8992, 0.7500, 0.1368)  1 Cu 2.50

(9)
Below is a relaxed structure of SrDy2CuSe4, with properties calculated at the GGA-PBE level.

Values from the calculation:
Total magnetic moment = 0.0 μB per cell
E_tot = -5.19 eV per atom
Formation energy (no corrections) = -1579 meV/atom
Density = 6.6 Mg/m³
Calculated volume = 24.87 A^3/atom

Unit cell a=7.1480 b=7.1480 c=14.2131 alpha=90.00 beta=90.00 gamma=146.77
Last column: nearest neighbours and their distance in Å.
Element x y z (fractional)
Sr (0.1200, 0.8800, 0.7500)  6 Se 3.13-3.14
Sr (0.8800, 0.1200, 0.2500)  6 Se 3.13-3.14
Dy (0.3716, 0.6284, 0.5607)  6 Se 2.83-2.95
Dy (0.3716, 0.6284, 0.9393)  6 Se 2.83-2.95
Dy (0.6284, 0.3716, 0.0607)  6 Se 2.83-2.95
Dy (0.6284, 0.3716, 0.4393)  6 Se 2.83-2.95
Cu (0.1514, 0.8486, 0.2500)  4 Se 2.45-2.49
Cu (0.8486, 0.1514, 0.7500)  4 Se 2.45-2.49
Se (0.0000, 0.0000, 0.0000)  4 Dy 2.83
Se (0.0000, 0.0000, 0.5000)  4 Dy 2.83
Se (0.2718, 0.7282, 0.1185)  1 Cu 2.49
Se (0.2718, 0.7282, 0.3815)  1 Cu 2.49
Se (0.4471, 0.5529, 0.7500)  2 Cu 2.45
Se (0.5529, 0.4471, 0.2500)  2 Cu 2.45
Se (0.7282, 0.2718, 0.6185)  1 Cu 2.49
Se (0.7282, 0.2718, 0.8815)  1 Cu 2.49

(10)
Below is a relaxed structure of Tb2DyCuSe5, with properties calculated at the GGA-PBE level.

Values from the calculation:
Total magnetic moment = 0.0 μB per cell
E_tot = -5.48 eV per atom
Formation energy (no corrections) = -1545 meV/atom
Density = 7.4 Mg/m³
Calculated volume = 23.34 A^3/atom

Unit cell a=8.9866 b=8.9866 c=12.0018 alpha=90.00 beta=90.00 gamma=154.31
Last column: nearest neighbours and their distance in Å.
Element x y z (fractional)
Tb (0.1076, 0.8924, 0.5000)  8 Se 2.97-3.17
Tb (0.1212, 0.8788, 0.1227)  7 Se 2.91-3.22
Tb (0.8788, 0.1212, 0.6227)  7 Se 2.91-3.22
Tb (0.8924, 0.1076, 0.0000)  8 Se 2.97-3.17
Dy (0.1929, 0.8071, 0.8257)  6 Se 2.74-2.89
Dy (0.8071, 0.1929, 0.3257)  6 Se 2.74-2.89
Cu (0.4360, 0.5640, 0.2718)  4 Se 2.40-2.52
Cu (0.5640, 0.4360, 0.7718)  4 Se 2.40-2.52
Se (0.0413, 0.9587, 0.8812)  2 Cu 2.42
Se (0.2884, 0.7116, 0.4932)  2 Dy 2.85, 3 Tb 2.99-3.17
Se (0.3154, 0.6846, 0.1573)  1 Cu 2.52
Se (0.3576, 0.6424, 0.8162)  1 Dy 2.89, 4 Tb 3.04-3.09
Se (0.4984, 0.5016, 0.5961)  1 Cu 2.40
Se (0.5016, 0.4984, 0.0961)  1 Cu 2.40
Se (0.6424, 0.3576, 0.3162)  1 Dy 2.89, 4 Tb 3.04-3.09
Se (0.6846, 0.3154, 0.6573)  1 Cu 2.52
Se (0.7116, 0.2884, 0.9932)  2 Dy 2.85, 3 Tb 2.99-3.17
Se (0.9587, 0.0413, 0.3812)  2 Cu 2.42

(11)
Below is a relaxed structure of DyCuTeSe, with properties calculated at the GGA-PBE level.

Values from the calculation:
Total magnetic moment = 0.0 μB per cell
E_tot = -4.77 eV per atom
Formation energy (no corrections) = -941 meV/atom
Density = 7.0 Mg/m³
Calculated volume = 25.54 A^3/atom

Unit cell a=4.1149 b=4.1149 c=20.9007 alpha=90.00 beta=90.00 gamma=120.00
Last column: nearest neighbours and their distance in Å.
Element x y z (fractional)
Dy (0.0000, 0.0000, 0.0000)  3 Se 2.97, 3 Te 3.03
Dy (0.3333, 0.6667, 0.6667)  3 Se 2.97, 3 Te 3.03
Dy (0.6667, 0.3333, 0.3333)  3 Se 2.97, 3 Te 3.03
Cu (0.0000, 0.0000, 0.5481)  3 Se 2.47, 1 Te 2.60
Cu (0.3333, 0.6667, 0.2147)  3 Se 2.47, 1 Te 2.60
Cu (0.6667, 0.3333, 0.8814)  3 Se 2.47, 1 Te 2.60
Te (0.0000, 0.0000, 0.4236)  1 Cu 2.60
Te (0.3333, 0.6667, 0.0903)  1 Cu 2.60
Te (0.6667, 0.3333, 0.7569)  1 Cu 2.60
Se (0.0000, 0.0000, 0.2477)  3 Cu 2.47
Se (0.3333, 0.6667, 0.9144)  3 Cu 2.47
Se (0.6667, 0.3333, 0.5810)  3 Cu 2.47

(12)
Below is a relaxed structure of Dy4CuTeSe2, with properties calculated at the GGA-PBE level.

Values from the calculation:
Total magnetic moment = 0.0 μB per cell
E_tot = -5.31 eV per atom
Formation energy (no corrections) = -1230 meV/atom
Density = 8.2 Mg/m³
Calculated volume = 25.28 A^3/atom

Unit cell a=7.2294 b=4.0386 c=7.2907 alpha=90.00 beta=108.15 gamma=90.00
Last column: nearest neighbours and their distance in Å.
Element x y z (fractional)
Dy (0.2304, 0.0000, 0.2387)  3 Se 2.84-2.99, 1 Cu 2.89, 2 Te 3.03
Dy (0.2311, 0.5000, 0.7437)  2 Cu 2.86, 3 Se 2.87-3.01, 1 Te 3.01
Dy (0.7689, 0.5000, 0.2563)  2 Cu 2.86, 3 Se 2.87-3.01, 1 Te 3.01
Dy (0.7696, 0.0000, 0.7613)  3 Se 2.84-2.99, 1 Cu 2.89, 2 Te 3.03
Cu (0.0000, 0.0000, 0.5000)  6 Dy 2.86-2.89
Te (0.5000, 0.5000, 0.5000)  6 Dy 3.01-3.03
Se (0.0000, 0.5000, 0.0000)  6 Dy 2.84-2.87
Se (0.5000, 0.0000, 0.0000)  6 Dy 2.99-3.01